Record 1
An optimized crystal structure of AcAs2P, computed with GGA-PBE.

Spin magnetization (μB/atom): 0.000
Energy relative to the elements (eV per atom): -0.278
Calculated volume (Å³/cell): 95.2
DOS(E_F) (states/eV/f.u.): 1.68

a = 4.002 Å, b = 4.002 Å, c = 5.942 Å
α = 90.00°, β = 90.00°, γ = 90.00°
Atoms (fractional coordinates):
Ac (0.000, 0.000, 0.000)
As (0.500, 0.500, 0.294)
As (0.500, 0.500, 0.706)
P (0.000, 0.000, 0.500)

Record 2
An optimized crystal structure of AcAs3P, computed with GGA-PBE.

Spin magnetization (μB/atom): 0.000
Energy relative to the elements (eV per atom): -0.236
Calculated volume (Å³/cell): 118.2
DOS(E_F) (states/eV/f.u.): 3.90

a = 4.907 Å, b = 4.907 Å, c = 4.907 Å
α = 90.00°, β = 90.00°, γ = 90.00°
Atoms (fractional coordinates):
Ac (0.000, 0.000, 0.000)
As (0.000, 0.500, 0.500)
As (0.500, 0.000, 0.500)
As (0.500, 0.500, 0.000)
P (0.500, 0.500, 0.500)

Record 3
An optimized crystal structure of Ac5As4P, computed with GGA-PBE.

Spin magnetization (μB/atom): 0.000
Energy relative to the elements (eV per atom): -1.480
Calculated volume (Å³/cell): 328.9
DOS(E_F) (states/eV/f.u.): 0.75

a = 7.848 Å, b = 7.848 Å, c = 7.848 Å
α = 99.59°, β = 99.59°, γ = 131.81°
Atoms (fractional coordinates):
Ac (0.000, 0.000, 0.000)
Ac (0.204, 0.402, 0.605)
Ac (0.402, 0.796, 0.198)
Ac (0.598, 0.204, 0.802)
Ac (0.796, 0.598, 0.395)
As (0.099, 0.700, 0.799)
As (0.300, 0.099, 0.399)
As (0.700, 0.901, 0.601)
As (0.901, 0.300, 0.201)
P (0.500, 0.500, 0.000)

Record 4
An optimized crystal structure of AcAs2P, computed with GGA-PBE.

Spin magnetization (μB/atom): 0.000
Energy relative to the elements (eV per atom): -0.383
Calculated volume (Å³/cell): 293.0
DOS(E_F) (states/eV/f.u.): 1.71

a = 4.736 Å, b = 4.736 Å, c = 15.088 Å
α = 90.00°, β = 90.00°, γ = 120.00°
Atoms (fractional coordinates):
Ac (0.000, 0.000, 0.000)
Ac (0.333, 0.667, 0.667)
Ac (0.667, 0.333, 0.333)
As (0.000, 0.000, 0.205)
As (0.000, 0.000, 0.795)
As (0.333, 0.667, 0.461)
As (0.333, 0.667, 0.872)
As (0.667, 0.333, 0.128)
As (0.667, 0.333, 0.539)
P (0.000, 0.000, 0.500)
P (0.333, 0.667, 0.167)
P (0.667, 0.333, 0.833)

Record 5
An optimized crystal structure of Ac5AsP4, computed with GGA-PBE.

Spin magnetization (μB/atom): 0.000
Energy relative to the elements (eV per atom): -1.469
Calculated volume (Å³/cell): 315.8
DOS(E_F) (states/eV/f.u.): 0.67

a = 11.828 Å, b = 11.828 Å, c = 11.828 Å
α = 158.21°, β = 149.00°, γ = 38.21°
Atoms (fractional coordinates):
Ac (0.000, 0.000, 0.000)
Ac (0.200, 0.200, 0.000)
Ac (0.397, 0.397, 0.000)
Ac (0.603, 0.603, 0.000)
Ac (0.800, 0.800, 0.000)
As (0.500, 0.000, 0.500)
P (0.100, 0.600, 0.500)
P (0.299, 0.799, 0.500)
P (0.701, 0.201, 0.500)
P (0.900, 0.400, 0.500)

Record 6
An optimized crystal structure of Ac8As3P4, computed with GGA-PBE.

Spin magnetization (μB/atom): 0.047
Energy relative to the elements (eV per atom): -1.356
Calculated volume (Å³/cell): 505.9
DOS(E_F) (states/eV/f.u.): 8.51

a = 8.943 Å, b = 8.943 Å, c = 8.931 Å
α = 119.94°, β = 119.94°, γ = 90.01°
Atoms (fractional coordinates):
Ac (0.242, 0.242, 0.489)
Ac (0.243, 0.243, 0.996)
Ac (0.245, 0.755, 0.000)
Ac (0.248, 0.752, 0.500)
Ac (0.752, 0.248, 0.500)
Ac (0.755, 0.245, 0.000)
Ac (0.757, 0.757, 0.004)
Ac (0.758, 0.758, 0.511)
As (0.000, 0.500, 0.500)
As (0.500, 0.000, 0.500)
As (0.500, 0.500, 0.500)
P (0.000, 0.000, 0.000)
P (0.000, 0.000, 0.500)
P (0.000, 0.500, 0.000)
P (0.500, 0.000, 0.000)

Record 7
An optimized crystal structure of AcAsP2, computed with GGA-PBE.

Spin magnetization (μB/atom): 0.000
Energy relative to the elements (eV per atom): -0.424
Calculated volume (Å³/cell): 275.1
DOS(E_F) (states/eV/f.u.): 2.14

a = 4.654 Å, b = 4.654 Å, c = 14.666 Å
α = 90.00°, β = 90.00°, γ = 120.00°
Atoms (fractional coordinates):
Ac (0.000, 0.000, 0.000)
Ac (0.333, 0.667, 0.667)
Ac (0.667, 0.333, 0.333)
As (0.000, 0.000, 0.500)
As (0.333, 0.667, 0.167)
As (0.667, 0.333, 0.833)
P (0.000, 0.000, 0.208)
P (0.000, 0.000, 0.792)
P (0.333, 0.667, 0.459)
P (0.333, 0.667, 0.875)
P (0.667, 0.333, 0.125)
P (0.667, 0.333, 0.541)

Record 8
An optimized crystal structure of AcAsP2, computed with GGA-PBE.

Spin magnetization (μB/atom): 0.000
Energy relative to the elements (eV per atom): -0.383
Calculated volume (Å³/cell): 88.2
DOS(E_F) (states/eV/f.u.): 1.79

a = 4.607 Å, b = 4.607 Å, c = 4.157 Å
α = 90.00°, β = 90.00°, γ = 90.00°
Atoms (fractional coordinates):
Ac (0.000, 0.000, 0.000)
As (0.500, 0.500, 0.000)
P (0.000, 0.500, 0.500)
P (0.500, 0.000, 0.500)